(1)
Material: SrTlI2O
Method: DFT, GGA-PBE
State: relaxed

Computed properties:
E_form (uncorrected) = -0.996 eV per atom
Energy = -17.1 eV/cell

Lattice parameters (Å, degrees): 6.553 6.553 4.590 90.00 90.00 90.00
Space group P4/mmm (No. 123)
Inequivalent atoms, fractional coordinates:
1 Sr 0.000 0.000 0.000 (multiplicity 1)
2 Tl 0.500 0.500 0.500 (multiplicity 1)
3 I 0.000 0.500 0.000 (multiplicity 2)
4 O 0.000 0.000 0.500 (multiplicity 1)

---

(2)
Material: AlSiSb2
Method: DFT, GGA-PBE
State: relaxed

Computed properties:
E_form (uncorrected) = 0.196 eV per atom
Energy = -66.5 eV/cell

Lattice parameters (Å, degrees): 6.158 6.158 12.823 90.00 90.00 90.00
Space group I-42d (No. 122)
Inequivalent atoms, fractional coordinates:
1 Al 0.000 0.000 0.000 (multiplicity 4)
2 Si 0.000 0.000 0.500 (multiplicity 4)
3 Sb 0.249 0.250 0.625 (multiplicity 8)

---

(3)
Material: Ir4RuRh2
Method: DFT, GGA-PBE
State: relaxed

Computed properties:
Energy = -223.5 eV/cell

Lattice parameters (Å, degrees): 7.599 7.599 7.564 90.00 90.00 90.00
Space group I-42d (No. 122)
Inequivalent atoms, fractional coordinates:
1 Ir 0.088 0.666 0.469 (multiplicity 16)
2 Ru 0.000 0.000 0.500 (multiplicity 4)
3 Rh 0.120 0.750 0.125 (multiplicity 8)

---

(4)
Material: TlAs2Cl
Method: DFT, GGA-PBE
State: relaxed

Computed properties:
E_form (uncorrected) = -0.050 eV per atom
Energy = -13.7 eV/cell

Lattice parameters (Å, degrees): 4.122 4.110 5.919 90.00 90.61 90.00
Space group P2/m (No. 10)
Inequivalent atoms, fractional coordinates:
1 Tl 0.000 0.000 0.000 (multiplicity 1)
2 As 0.000 0.000 0.500 (multiplicity 1)
3 As 0.500 0.500 0.500 (multiplicity 1)
4 Cl 0.500 0.500 0.000 (multiplicity 1)

---

(5)
Material: Hf3NbRu2
Method: DFT, GGA-PBE
State: relaxed

Computed properties:
Energy = -61.6 eV/cell

Lattice parameters (Å, degrees): 3.246 3.246 10.268 90.00 90.00 90.00
Space group P4/mmm (No. 123)
Inequivalent atoms, fractional coordinates:
1 Hf 0.000 0.000 0.000 (multiplicity 1)
2 Hf 0.000 0.000 0.316 (multiplicity 2)
3 Nb 0.500 0.500 0.500 (multiplicity 1)
4 Ru 0.500 0.500 0.157 (multiplicity 2)

---

(6)
Material: CrAgBr2
Method: DFT, GGA-PBE
State: relaxed

Computed properties:
E_form (uncorrected) = -0.049 eV per atom
Energy = -32.0 eV/cell

Lattice parameters (Å, degrees): 3.517 6.448 10.200 90.00 90.00 90.00
Space group Cmmm (No. 65)
Inequivalent atoms, fractional coordinates:
1 Cr 0.000 0.000 0.000 (multiplicity 2)
2 Ag 0.000 0.000 0.500 (multiplicity 2)
3 Br 0.000 0.500 0.174 (multiplicity 4)

---

(7)
Material: Tb4SmCd2
Method: DFT, GGA-PBE
State: relaxed

Computed properties:
Energy = -70.8 eV/cell

Lattice parameters (Å, degrees): 5.1106 5.1106 31.0156 90.00 90.00 120.00
Space group R-3m (No. 166, hexagonal axes)
Inequivalent atoms, fractional coordinates:
1 Tb 0.0000 0.0000 0.1065 (multiplicity 6)
2 Tb 0.0000 0.0000 0.2975 (multiplicity 6)
3 Sm 0.0000 0.0000 0.5000 (multiplicity 3)
4 Cd 0.0000 0.0000 0.3995 (multiplicity 6)

---

(8)
Material: In4Cu2Ag3
Method: DFT, GGA-PBE
State: relaxed

Computed properties:
Energy = -54.4 eV/cell

Lattice parameters (Å, degrees): 13.759 4.359 6.933 90.00 117.30 90.00
Space group C2/m (No. 12)
Inequivalent atoms, fractional coordinates:
1 In 0.076 0.000 0.358 (multiplicity 4)
2 In 0.241 0.500 0.194 (multiplicity 4)
3 Cu 0.122 0.000 0.010 (multiplicity 4)
4 Ag 0.000 0.500 0.000 (multiplicity 2)
5 Ag 0.099 0.500 0.703 (multiplicity 4)

---

Q: The lowest energy belongs to which entry?
A: Ir4RuRh2